[1]
HgB4Ir | PBE | optimized geometry

relative energy among the computed polymorphs: 0.223 eV/atom

CIF file:
```
data_HgB4Ir
_space_group_name_H-M_alt 'I m m m'
_space_group_IT_number 71
_space_group_name_Hall '-I 2 2'
_cell_length_a 2.7383
_cell_length_b 5.5506
_cell_length_c 8.3776
_cell_angle_alpha 90.00
_cell_angle_beta 90.00
_cell_angle_gamma 90.00
loop_
_atom_site_label
_atom_site_fract_x
_atom_site_fract_y
_atom_site_fract_z
_atom_site_occupancy
Hg1 0.0000 0.0000 0.0000 1
B1 0.0000 0.3474 0.2227 1
Ir1 0.0000 0.0000 0.5000 1
```

***

[2]
Nd2Dy2BBr5 | PBE | optimized geometry

energy: -4.78 eV/atom

CIF file:
```
data_Nd2Dy2BBr5
_space_group_name_H-M_alt 'C 1 2/m 1'
_space_group_IT_number 12
_cell_length_a 18.2500
_cell_length_b 3.9653
_cell_length_c 8.2393
_cell_angle_alpha 90.00
_cell_angle_beta 103.29
_cell_angle_gamma 90.00
loop_
_space_group_symop_operation_xyz
'x,y,z'
'-x,-y,-z'
'-x,y,-z'
'x,-y,z'
'x+1/2,y+1/2,z'
'-x+1/2,-y+1/2,-z'
'-x+1/2,y+1/2,-z'
'x+1/2,-y+1/2,z'
loop_
_atom_site_label
_atom_site_fract_x
_atom_site_fract_y
_atom_site_fract_z
_atom_site_occupancy
Nd1 0.1462 0.0000 0.0787 1
Dy1 0.9996 0.5000 0.2072 1
B1 0.0000 0.0000 0.0000 1
Br1 0.0000 0.0000 0.5000 1
Br2 0.1611 0.5000 0.3514 1
Br3 0.1670 0.5000 0.8179 1
```

***

[3]
PuInCu | PBE | optimized geometry

energy: -6.82 eV/atom

CIF file:
```
data_PuInCu
_space_group_name_H-M_alt 'F -4 3 m'
_space_group_IT_number 216
_space_group_name_Hall 'F -4 2 3'
_cell_length_a 6.4950
_cell_length_b 6.4950
_cell_length_c 6.4950
_cell_angle_alpha 90.00
_cell_angle_beta 90.00
_cell_angle_gamma 90.00
loop_
_atom_site_label
_atom_site_fract_x
_atom_site_fract_y
_atom_site_fract_z
_atom_site_occupancy
Pu1 0.0000 0.0000 0.0000 1
In1 0.0000 0.0000 0.5000 1
Cu1 0.2500 0.2500 0.7500 1
```

***

[4]
GdHoCS | PBE | optimized geometry

energy: -6.88 eV/atom

CIF file:
```
data_GdHoCS
_space_group_name_H-M_alt 'P 63 m c'
_space_group_IT_number 186
_space_group_name_Hall 'P 6c -2c'
_cell_length_a 3.7183
_cell_length_b 3.7183
_cell_length_c 12.9590
_cell_angle_alpha 90.00
_cell_angle_beta 90.00
_cell_angle_gamma 120.00
loop_
_atom_site_label
_atom_site_fract_x
_atom_site_fract_y
_atom_site_fract_z
_atom_site_occupancy
Gd1 0.3333 0.6667 0.0000 1
Ho1 0.3333 0.6667 0.7088 1
C1 0.0000 0.0000 0.1054 1
S1 0.3333 0.6667 0.3516 1
```

***

[5]
Fe3Ge | PBE | optimized geometry

energy: -7.49 eV/atom

CIF file:
```
data_Fe3Ge
_space_group_name_H-M_alt 'P m -3 m'
_space_group_IT_number 221
_space_group_name_Hall '-P 4 2 3'
_cell_length_a 3.6351
_cell_length_b 3.6351
_cell_length_c 3.6351
_cell_angle_alpha 90.00
_cell_angle_beta 90.00
_cell_angle_gamma 90.00
loop_
_atom_site_label
_atom_site_fract_x
_atom_site_fract_y
_atom_site_fract_z
_atom_site_occupancy
Fe1 0.0000 0.0000 0.5000 1
Ge1 0.5000 0.5000 0.5000 1
```

***

[6]
Y5Er2Hg | PBE | optimized geometry

DFT formation energy: -0.034 eV per atom

CIF file:
```
data_Y5Er2Hg
_space_group_name_H-M_alt 'A m m 2'
_space_group_IT_number 38
_cell_length_a 5.5403
_cell_length_b 7.0651
_cell_length_c 12.2241
_cell_angle_alpha 90.00
_cell_angle_beta 90.00
_cell_angle_gamma 90.00
loop_
_space_group_symop_operation_xyz
'x,y,z'
'-x,-y,z'
'-x,y,z'
'x,-y,z'
'x,y+1/2,z+1/2'
'-x,-y+1/2,z+1/2'
'-x,y+1/2,z+1/2'
'x,-y+1/2,z+1/2'
loop_
_atom_site_label
_atom_site_fract_x
_atom_site_fract_y
_atom_site_fract_z
_atom_site_occupancy
Y1 0.0000 0.0000 0.0000 1
Y2 0.0000 0.2454 0.2533 1
Y3 0.5000 0.2451 0.0815 1
Er1 0.0000 0.0000 0.4974 1
Er2 0.5000 0.0000 0.8384 1
Hg1 0.5000 0.0000 0.3341 1
```

***

[7]
RbZrPb | PBE | optimized geometry

relative energy among the computed polymorphs: 0.640 eV/atom

CIF file:
```
data_RbZrPb
_space_group_name_H-M_alt 'F -4 3 m'
_space_group_IT_number 216
_space_group_name_Hall 'F -4 2 3'
_cell_length_a 7.6411
_cell_length_b 7.6411
_cell_length_c 7.6411
_cell_angle_alpha 90.00
_cell_angle_beta 90.00
_cell_angle_gamma 90.00
loop_
_atom_site_label
_atom_site_fract_x
_atom_site_fract_y
_atom_site_fract_z
_atom_site_occupancy
Rb1 0.0000 0.0000 0.0000 1
Zr1 0.2500 0.2500 0.2500 1
Pb1 0.2500 0.2500 0.7500 1
```

***

[8]
ErMgTl2 | PBE | optimized geometry

energy: -2.95 eV/atom

CIF file:
```
data_ErMgTl2
_space_group_name_H-M_alt 'P 4/m m m'
_space_group_IT_number 123
_space_group_name_Hall '-P 4 2'
_cell_length_a 4.8467
_cell_length_b 4.8467
_cell_length_c 4.2561
_cell_angle_alpha 90.00
_cell_angle_beta 90.00
_cell_angle_gamma 90.00
loop_
_atom_site_label
_atom_site_fract_x
_atom_site_fract_y
_atom_site_fract_z
_atom_site_occupancy
Er1 0.0000 0.0000 0.0000 1
Mg1 0.5000 0.5000 0.0000 1
Tl1 0.0000 0.5000 0.5000 1
```

***

[9]
SrSnPt | PBE | optimized geometry

energy: -3.75 eV/atom

CIF file:
```
data_SrSnPt
_space_group_name_H-M_alt 'F -4 3 m'
_space_group_IT_number 216
_space_group_name_Hall 'F -4 2 3'
_cell_length_a 7.1287
_cell_length_b 7.1287
_cell_length_c 7.1287
_cell_angle_alpha 90.00
_cell_angle_beta 90.00
_cell_angle_gamma 90.00
loop_
_atom_site_label
_atom_site_fract_x
_atom_site_fract_y
_atom_site_fract_z
_atom_site_occupancy
Sr1 0.0000 0.0000 0.0000 1
Sn1 0.2500 0.2500 0.2500 1
Pt1 0.2500 0.2500 0.7500 1
```

***

[10]
Sm2Tl8Pt | PBE | optimized geometry

energy: -3.36 eV/atom

CIF file:
```
data_Sm2Tl8Pt
_space_group_name_H-M_alt 'P 4/m m m'
_space_group_IT_number 123
_space_group_name_Hall '-P 4 2'
_cell_length_a 4.8203
_cell_length_b 4.8203
_cell_length_c 12.4245
_cell_angle_alpha 90.00
_cell_angle_beta 90.00
_cell_angle_gamma 90.00
loop_
_atom_site_label
_atom_site_fract_x
_atom_site_fract_y
_atom_site_fract_z
_atom_site_occupancy
Sm1 0.0000 0.0000 0.1919 1
Tl1 0.0000 0.5000 0.0000 1
Tl2 0.0000 0.5000 0.3723 1
Tl3 0.5000 0.5000 0.1846 1
Pt1 0.0000 0.0000 0.5000 1
```

***

[11]
CuH6C10Br2N2Cl4 | PBE | optimized geometry

energy: -5.80 eV/atom

CIF file:
```
data_CuH6C10Br2N2Cl4
_space_group_name_H-M_alt 'P -1'
_space_group_IT_number 2
_cell_length_a 6.1314
_cell_length_b 7.7278
_cell_length_c 8.5695
_cell_angle_alpha 102.73
_cell_angle_beta 96.54
_cell_angle_gamma 102.21
loop_
_space_group_symop_operation_xyz
'x,y,z'
'-x,-y,-z'
loop_
_atom_site_label
_atom_site_fract_x
_atom_site_fract_y
_atom_site_fract_z
_atom_site_occupancy
Cu1 0.0000 0.0000 0.0000 1
H1 0.1874 0.3897 0.4994 1
H2 0.1938 0.8164 0.5167 1
H3 0.4028 0.2548 0.9464 1
C1 0.0591 0.7947 0.4147 1
C2 0.0946 0.8823 0.2908 1
C3 0.1527 0.3192 0.5942 1
C4 0.2739 0.2451 0.8438 1
C5 0.3211 0.3388 0.7256 1
Br1 0.1503 0.7547 0.8509 1
N1 0.0676 0.1371 0.8351 1
Cl1 0.3517 0.0242 0.2924 1
Cl2 0.4114 0.5246 0.2553 1
```

***

[12]
Rb2CuPbBr6 | PBE | optimized geometry

energy: -2.98 eV/atom

CIF file:
```
data_Rb2CuPbBr6
_space_group_name_H-M_alt 'F m -3 m'
_space_group_IT_number 225
_space_group_name_Hall '-F 4 2 3'
_cell_length_a 11.0660
_cell_length_b 11.0660
_cell_length_c 11.0660
_cell_angle_alpha 90.00
_cell_angle_beta 90.00
_cell_angle_gamma 90.00
loop_
_atom_site_label
_atom_site_fract_x
_atom_site_fract_y
_atom_site_fract_z
_atom_site_occupancy
Rb1 0.2500 0.2500 0.2500 1
Cu1 0.0000 0.0000 0.0000 1
Pb1 0.0000 0.0000 0.5000 1
Br1 0.0000 0.0000 0.2359 1
```

***

[13]
InB4W | PBE | optimized geometry

relative energy among the computed polymorphs: 0.294 eV/atom

CIF file:
```
data_InB4W
_space_group_name_H-M_alt 'I m m m'
_space_group_IT_number 71
_space_group_name_Hall '-I 2 2'
_cell_length_a 3.0526
_cell_length_b 5.2518
_cell_length_c 7.4101
_cell_angle_alpha 90.00
_cell_angle_beta 90.00
_cell_angle_gamma 90.00
loop_
_atom_site_label
_atom_site_fract_x
_atom_site_fract_y
_atom_site_fract_z
_atom_site_occupancy
In1 0.0000 0.0000 0.0000 1
B1 0.0000 0.3364 0.2485 1
W1 0.0000 0.0000 0.5000 1
```

***

[14]
LuTlCoOs | PBE | optimized geometry

relative energy among the computed polymorphs: 0.000 eV/atom

CIF file:
```
data_LuTlCoOs
_space_group_name_H-M_alt 'F -4 3 m'
_space_group_IT_number 216
_space_group_name_Hall 'F -4 2 3'
_cell_length_a 6.5527
_cell_length_b 6.5527
_cell_length_c 6.5527
_cell_angle_alpha 90.00
_cell_angle_beta 90.00
_cell_angle_gamma 90.00
loop_
_atom_site_label
_atom_site_fract_x
_atom_site_fract_y
_atom_site_fract_z
_atom_site_occupancy
Lu1 0.0000 0.0000 0.0000 1
Tl1 0.0000 0.0000 0.5000 1
Co1 0.2500 0.2500 0.7500 1
Os1 0.2500 0.2500 0.2500 1
```

***

[15]
CdH20N6OF2 | PBE | optimized geometry

energy: -4.87 eV/atom

CIF file:
```
data_CdH20N6OF2
_space_group_name_H-M_alt 'P 31 2 1'
_space_group_IT_number 152
_cell_length_a 6.6485
_cell_length_b 6.6485
_cell_length_c 17.0971
_cell_angle_alpha 90.00
_cell_angle_beta 90.00
_cell_angle_gamma 120.00
loop_
_space_group_symop_operation_xyz
'x,y,z'
'-y,x-y,z+1/3'
'-x+y,-x,z+2/3'
'y,x,-z'
'x-y,-y,-z+2/3'
'-x,-x+y,-z+1/3'
loop_
_atom_site_label
_atom_site_fract_x
_atom_site_fract_y
_atom_site_fract_z
_atom_site_occupancy
Cd1 0.0000 0.5329 0.1667 1
H1 0.0243 0.2785 0.8328 1
H2 0.0429 0.9080 0.3682 1
H3 0.0471 0.2225 0.4091 1
H4 0.0476 0.7074 0.8212 1
H5 0.0772 0.4781 0.4385 1
H6 0.1116 0.8090 0.7295 1
H7 0.1670 0.5998 0.7596 1
H8 0.1953 0.6677 0.3286 1
H9 0.2121 0.7200 0.9542 1
H10 0.2298 0.6414 0.5981 1
N1 0.0892 0.3363 0.4553 1
N2 0.1620 0.7462 0.7755 1
N3 0.2536 0.6294 0.2780 1
O1 0.0000 0.9954 0.6667 1
F1 0.1141 0.7641 0.4177 1
```

***

[16]
ZrPaNO | PBE | optimized geometry

relative energy among the computed polymorphs: 0.129 eV/atom

CIF file:
```
data_ZrPaNO
_space_group_name_H-M_alt 'P c a 21'
_space_group_IT_number 29
_cell_length_a 6.8827
_cell_length_b 7.7946
_cell_length_c 4.9662
_cell_angle_alpha 90.00
_cell_angle_beta 90.00
_cell_angle_gamma 90.00
loop_
_space_group_symop_operation_xyz
'x,y,z'
'-x,-y,z+1/2'
'-x+1/2,y,z+1/2'
'x+1/2,-y,z'
loop_
_atom_site_label
_atom_site_fract_x
_atom_site_fract_y
_atom_site_fract_z
_atom_site_occupancy
Zr1 0.1049 0.1404 0.0000 1
Pa1 0.0657 0.6292 0.9913 1
N1 0.0858 0.6470 0.4878 1
O1 0.0792 0.0867 0.5230 1
```

***

[17]
Gd3HoB2Pb2 | PBE | optimized geometry

energy: -5.09 eV/atom

CIF file:
```
data_Gd3HoB2Pb2
_space_group_name_H-M_alt 'P 3 m 1'
_space_group_IT_number 156
_cell_length_a 3.7227
_cell_length_b 3.7227
_cell_length_c 16.8165
_cell_angle_alpha 90.00
_cell_angle_beta 90.00
_cell_angle_gamma 120.00
loop_
_space_group_symop_operation_xyz
'x,y,z'
'-y,x-y,z'
'-x+y,-x,z'
'-y,-x,z'
'-x+y,y,z'
'x,x-y,z'
loop_
_atom_site_label
_atom_site_fract_x
_atom_site_fract_y
_atom_site_fract_z
_atom_site_occupancy
Gd1 0.0000 0.0000 0.0000 1
Gd2 0.0000 0.0000 0.3223 1
Gd3 0.6667 0.3333 0.8192 1
Ho1 0.6667 0.3333 0.4988 1
B1 0.3333 0.6667 0.4118 1
B2 0.3333 0.6667 0.9096 1
Pb1 0.0000 0.0000 0.6577 1
Pb2 0.6667 0.3333 0.1607 1
```

***

[18]
MgTaNiAg | PBE | optimized geometry

relative energy among the computed polymorphs: 0.100 eV/atom

CIF file:
```
data_MgTaNiAg
_space_group_name_H-M_alt 'F -4 3 m'
_space_group_IT_number 216
_space_group_name_Hall 'F -4 2 3'
_cell_length_a 6.2835
_cell_length_b 6.2835
_cell_length_c 6.2835
_cell_angle_alpha 90.00
_cell_angle_beta 90.00
_cell_angle_gamma 90.00
loop_
_atom_site_label
_atom_site_fract_x
_atom_site_fract_y
_atom_site_fract_z
_atom_site_occupancy
Mg1 0.0000 0.0000 0.0000 1
Ta1 0.2500 0.2500 0.7500 1
Ni1 0.0000 0.0000 0.5000 1
Ag1 0.2500 0.2500 0.2500 1
```

***

[19]
Pr2In2IrPd3 | PBE | optimized geometry

energy: -5.61 eV/atom

CIF file:
```
data_Pr2In2IrPd3
_space_group_name_H-M_alt 'P 3 m 1'
_space_group_IT_number 156
_cell_length_a 4.6437
_cell_length_b 4.6437
_cell_length_c 9.2836
_cell_angle_alpha 90.00
_cell_angle_beta 90.00
_cell_angle_gamma 120.00
loop_
_space_group_symop_operation_xyz
'x,y,z'
'-y,x-y,z'
'-x+y,-x,z'
'-y,-x,z'
'-x+y,y,z'
'x,x-y,z'
loop_
_atom_site_label
_atom_site_fract_x
_atom_site_fract_y
_atom_site_fract_z
_atom_site_occupancy
Pr1 0.0000 0.0000 0.0000 1
Pr2 0.3333 0.6667 0.4882 1
In1 0.6667 0.3333 0.2339 1
In2 0.6667 0.3333 0.7411 1
Ir1 0.3333 0.6667 0.1625 1
Pd1 0.0000 0.0000 0.3313 1
Pd2 0.0000 0.0000 0.6607 1
Pd3 0.3333 0.6667 0.8230 1
```

***

[20]
GdDyNO | PBE | optimized geometry

relative energy among the computed polymorphs: 0.000 eV/atom

CIF file:
```
data_GdDyNO
_space_group_name_H-M_alt 'P m m a'
_space_group_IT_number 51
_cell_length_a 4.9003
_cell_length_b 3.9985
_cell_length_c 6.8980
_cell_angle_alpha 90.00
_cell_angle_beta 90.00
_cell_angle_gamma 90.00
loop_
_space_group_symop_operation_xyz
'x,y,z'
'-x,-y,-z'
'-x+1/2,-y,z'
'x+1/2,y,-z'
'x+1/2,-y,-z'
'-x+1/2,y,z'
'-x,y,-z'
'x,-y,z'
loop_
_atom_site_label
_atom_site_fract_x
_atom_site_fract_y
_atom_site_fract_z
_atom_site_occupancy
Gd1 0.2500 0.0000 0.1652 1
Dy1 0.2500 0.5000 0.6679 1
N1 0.2500 0.5000 0.3388 1
O1 0.2500 0.0000 0.8208 1
```

***

[21]
Dy3PSe2 | PBE | optimized geometry

relative energy among the computed polymorphs: 0.013 eV/atom

CIF file:
```
data_Dy3PSe2
_space_group_name_H-M_alt 'P -3 m 1'
_space_group_IT_number 164
_space_group_name_Hall '-P 3 2"'
_cell_length_a 4.0452
_cell_length_b 4.0452
_cell_length_c 9.9865
_cell_angle_alpha 90.00
_cell_angle_beta 90.00
_cell_angle_gamma 120.00
loop_
_atom_site_label
_atom_site_fract_x
_atom_site_fract_y
_atom_site_fract_z
_atom_site_occupancy
Dy1 0.0000 0.0000 0.0000 1
Dy2 0.3333 0.6667 0.6504 1
P1 0.0000 0.0000 0.5000 1
Se1 0.3333 0.6667 0.1686 1
```